# 1
## BaAsIr2 (PBE-GGA)

Data for BaAsIr2 after structural relaxation.

The structure in CIF format:
```
data_BaAsIr2
_cell_length_a 4.5069
_cell_length_b 4.5069
_cell_length_c 7.9922
_cell_angle_alpha 90.00
_cell_angle_beta 90.00
_cell_angle_gamma 90.00
_symmetry_space_group_name_H-M 'I 4/m m m'
_symmetry_Int_Tables_number 139
_symmetry_space_group_name_Hall '-I 4 2'
loop_
_atom_site_label
_atom_site_fract_x
_atom_site_fract_y
_atom_site_fract_z
Ba1 0.0000 0.0000 0.0000
As1 0.0000 0.0000 0.5000
Ir1 0.0000 0.5000 0.2500
```

Computed properties:
- ΔH_f (0 K): 0.61 eV/atom
- DOS(E_F): 0.434 states/eV/atom

# 2
## Sr6GeAs2I3 (PBE-GGA)

Data for Sr6GeAs2I3 after structural relaxation.

The structure in CIF format:
```
data_Sr6GeAs2I3
_cell_length_a 7.9858
_cell_length_b 13.9116
_cell_length_c 8.4638
_cell_angle_alpha 90.00
_cell_angle_beta 108.50
_cell_angle_gamma 90.00
_symmetry_space_group_name_H-M 'C 1 2/m 1'
_symmetry_Int_Tables_number 12
loop_
_symmetry_equiv_pos_as_xyz
'x,y,z'
'-x,-y,-z'
'-x,y,-z'
'x,-y,z'
'x+1/2,y+1/2,z'
'-x+1/2,-y+1/2,-z'
'-x+1/2,y+1/2,-z'
'x+1/2,-y+1/2,z'
loop_
_atom_site_label
_atom_site_fract_x
_atom_site_fract_y
_atom_site_fract_z
Sr1 0.2305 0.0000 0.2026
Sr2 0.2350 0.3312 0.2013
Ge1 0.0000 0.5000 0.0000
As1 0.0000 0.1660 0.0000
I1 0.0000 0.0000 0.5000
I2 0.0000 0.3316 0.5000
```

Computed properties:
- Uncorrected formation energy: -1.25 eV/atom
- DOS(E_F): 0.530 states/eV/atom

# 3
## ErThCd4 (PBE-GGA)

Data for ErThCd4 after structural relaxation.

The structure in CIF format:
```
data_ErThCd4
_cell_length_a 4.3060
_cell_length_b 4.3060
_cell_length_c 17.5697
_cell_angle_alpha 90.00
_cell_angle_beta 90.00
_cell_angle_gamma 90.00
_symmetry_space_group_name_H-M 'I -4 m 2'
_symmetry_Int_Tables_number 119
_symmetry_space_group_name_Hall 'I -4 -2'
loop_
_atom_site_label
_atom_site_fract_x
_atom_site_fract_y
_atom_site_fract_z
Er1 0.0000 0.0000 0.0000
Th1 0.0000 0.5000 0.7500
Cd1 0.0000 0.0000 0.4228
Cd2 0.0000 0.5000 0.1702
```

Computed properties:
- ΔH_f (0 K): -0.01 eV/atom
- DOS(E_F): 1.163 states/eV/atom
- Energy above the most stable polymorph in this dataset: 219 meV/atom

# 4
## BRh3Pb (PBE-GGA)

Data for BRh3Pb after structural relaxation.

The structure in CIF format:
```
data_BRh3Pb
_cell_length_a 4.9758
_cell_length_b 4.9758
_cell_length_c 4.9758
_cell_angle_alpha 90.00
_cell_angle_beta 90.00
_cell_angle_gamma 90.00
_symmetry_space_group_name_H-M 'P m -3 m'
_symmetry_Int_Tables_number 221
_symmetry_space_group_name_Hall '-P 4 2 3'
loop_
_atom_site_label
_atom_site_fract_x
_atom_site_fract_y
_atom_site_fract_z
B1 0.0000 0.0000 0.0000
Rh1 0.0000 0.5000 0.5000
Pb1 0.5000 0.5000 0.5000
```

Computed properties:
- ΔH_f (0 K): 2.34 eV/atom
- DOS(E_F): 0.722 states/eV/atom
- Energy above the most stable polymorph in this dataset: 2559 meV/atom

# 5
## TaWBr (PBE-GGA)

Data for TaWBr after structural relaxation.

The structure in CIF format:
```
data_TaWBr
_cell_length_a 2.9844
_cell_length_b 2.9844
_cell_length_c 7.3074
_cell_angle_alpha 90.00
_cell_angle_beta 90.00
_cell_angle_gamma 120.00
_symmetry_space_group_name_H-M 'P 3 m 1'
_symmetry_Int_Tables_number 156
loop_
_symmetry_equiv_pos_as_xyz
'x,y,z'
'-y,x-y,z'
'-x+y,-x,z'
'-y,-x,z'
'-x+y,y,z'
'x,x-y,z'
loop_
_atom_site_label
_atom_site_fract_x
_atom_site_fract_y
_atom_site_fract_z
Ta1 0.0000 0.0000 0.0000
W1 0.6667 0.3333 0.3292
Br1 0.3333 0.6667 0.7209
```

Computed properties:
- Uncorrected formation energy: 0.64 eV/atom
- DOS(E_F): 1.000 states/eV/atom
- Energy above the most stable polymorph in this dataset: 67 meV/atom

# 6
## KBa2S (PBE-GGA)

Data for KBa2S after structural relaxation.

The structure in CIF format:
```
data_KBa2S
_cell_length_a 4.4732
_cell_length_b 4.4732
_cell_length_c 35.5717
_cell_angle_alpha 90.00
_cell_angle_beta 90.00
_cell_angle_gamma 120.00
_symmetry_space_group_name_H-M 'R 3 m'
_symmetry_Int_Tables_number 160
_symmetry_space_group_name_Hall 'R 3 -2"'
loop_
_atom_site_label
_atom_site_fract_x
_atom_site_fract_y
_atom_site_fract_z
K1 0.0000 0.0000 0.0000
Ba1 0.0000 0.0000 0.5514
Ba2 0.0000 0.0000 0.7818
S1 0.0000 0.0000 0.1665
```

Computed properties:
- Uncorrected formation energy: -0.94 eV/atom
- DOS(E_F): 0.773 states/eV/atom

# 7
## AgBi6O12 (PBE-GGA)

Data for AgBi6O12 after structural relaxation.

The structure in CIF format:
```
data_AgBi6O12
_cell_length_a 10.2696
_cell_length_b 10.2696
_cell_length_c 9.5595
_cell_angle_alpha 90.00
_cell_angle_beta 90.00
_cell_angle_gamma 120.00
_symmetry_space_group_name_H-M 'R -3'
_symmetry_Int_Tables_number 148
_symmetry_space_group_name_Hall '-R 3'
loop_
_atom_site_label
_atom_site_fract_x
_atom_site_fract_y
_atom_site_fract_z
Ag1 0.0000 0.0000 0.0000
Bi1 0.0476 0.7932 0.6570
O1 0.0321 0.8326 0.8880
O2 0.0372 0.8252 0.3913
```

Computed properties:
- Uncorrected formation energy: -0.90 eV/atom
- DOS(E_F): 0.634 states/eV/atom

# 8
## PmSm2Te4 (PBE-GGA)

Data for PmSm2Te4 after structural relaxation.

The structure in CIF format:
```
data_PmSm2Te4
_cell_length_a 4.3281
_cell_length_b 14.6225
_cell_length_c 15.2046
_cell_angle_alpha 90.00
_cell_angle_beta 90.00
_cell_angle_gamma 90.00
_symmetry_space_group_name_H-M 'C m c m'
_symmetry_Int_Tables_number 63
_symmetry_space_group_name_Hall '-C 2c 2'
loop_
_atom_site_label
_atom_site_fract_x
_atom_site_fract_y
_atom_site_fract_z
Pm1 0.0000 0.1267 0.2500
Sm1 0.0000 0.3686 0.0691
Te1 0.0000 0.0000 0.0000
Te2 0.0000 0.2784 0.6229
Te3 0.0000 0.4680 0.2500
```

Computed properties:
- Uncorrected formation energy: -1.40 eV/atom
- DOS(E_F): 0.401 states/eV/atom
- Energy above the most stable polymorph in this dataset: 12 meV/atom

# 9
## AcMgCu2Au4 (PBE-GGA)

Data for AcMgCu2Au4 after structural relaxation.

The structure in CIF format:
```
data_AcMgCu2Au4
_cell_length_a 4.5097
_cell_length_b 4.5097
_cell_length_c 27.5452
_cell_angle_alpha 90.00
_cell_angle_beta 90.00
_cell_angle_gamma 120.00
_symmetry_space_group_name_H-M 'R -3 m'
_symmetry_Int_Tables_number 166
_symmetry_space_group_name_Hall '-R 3 2"'
loop_
_atom_site_label
_atom_site_fract_x
_atom_site_fract_y
_atom_site_fract_z
Ac1 0.0000 0.0000 0.0000
Mg1 0.0000 0.0000 0.5000
Cu1 0.0000 0.0000 0.2318
Au1 0.0000 0.0000 0.1268
Au2 0.0000 0.0000 0.4016
```

Computed properties:
- ΔH_f (0 K): -0.41 eV/atom
- DOS(E_F): 0.351 states/eV/atom

# 10
## Sn2HgRhBr (PBE-GGA)

Data for Sn2HgRhBr after structural relaxation.

The structure in CIF format:
```
data_Sn2HgRhBr
_cell_length_a 5.0945
_cell_length_b 5.0945
_cell_length_c 5.3430
_cell_angle_alpha 90.00
_cell_angle_beta 90.00
_cell_angle_gamma 90.00
_symmetry_space_group_name_H-M 'P 4/m m m'
_symmetry_Int_Tables_number 123
_symmetry_space_group_name_Hall '-P 4 2'
loop_
_atom_site_label
_atom_site_fract_x
_atom_site_fract_y
_atom_site_fract_z
Sn1 0.0000 0.5000 0.0000
Hg1 0.0000 0.0000 0.5000
Rh1 0.0000 0.0000 0.0000
Br1 0.5000 0.5000 0.5000
```

Computed properties:
- Uncorrected formation energy: -0.27 eV/atom
- DOS(E_F): 0.267 states/eV/atom

# 11
## Sm2YPt (PBE-GGA)

Data for Sm2YPt after structural relaxation.

The structure in CIF format:
```
data_Sm2YPt
_cell_length_a 3.9680
_cell_length_b 3.9680
_cell_length_c 27.6118
_cell_angle_alpha 90.00
_cell_angle_beta 90.00
_cell_angle_gamma 120.00
_symmetry_space_group_name_H-M 'R 3 m'
_symmetry_Int_Tables_number 160
_symmetry_space_group_name_Hall 'R 3 -2"'
loop_
_atom_site_label
_atom_site_fract_x
_atom_site_fract_y
_atom_site_fract_z
Sm1 0.0000 0.0000 0.0000
Sm2 0.0000 0.0000 0.2094
Y1 0.0000 0.0000 0.7700
Pt1 0.0000 0.0000 0.6052
```

Computed properties:
- ΔH_f (0 K): -0.47 eV/atom
- DOS(E_F): 1.275 states/eV/atom
- Energy above the most stable polymorph in this dataset: 204 meV/atom

# 12
## YTl2Au (PBE-GGA)

Data for YTl2Au after structural relaxation.

The structure in CIF format:
```
data_YTl2Au
_cell_length_a 7.3160
_cell_length_b 7.3160
_cell_length_c 7.3160
_cell_angle_alpha 90.00
_cell_angle_beta 90.00
_cell_angle_gamma 90.00
_symmetry_space_group_name_H-M 'F m -3 m'
_symmetry_Int_Tables_number 225
_symmetry_space_group_name_Hall '-F 4 2 3'
loop_
_atom_site_label
_atom_site_fract_x
_atom_site_fract_y
_atom_site_fract_z
Y1 0.0000 0.0000 0.0000
Tl1 0.2500 0.2500 0.2500
Au1 0.0000 0.0000 0.5000
```

Computed properties:
- ΔH_f (0 K): -0.20 eV/atom
- DOS(E_F): 0.081 states/eV/atom
- Energy above the most stable polymorph in this dataset: 128 meV/atom

# 13
## Al3Co (PBE-GGA)

Data for Al3Co after structural relaxation.

The structure in CIF format:
```
data_Al3Co
_cell_length_a 2.8770
_cell_length_b 8.3130
_cell_length_c 4.6621
_cell_angle_alpha 90.00
_cell_angle_beta 90.00
_cell_angle_gamma 90.00
_symmetry_space_group_name_H-M 'I m m 2'
_symmetry_Int_Tables_number 44
loop_
_symmetry_equiv_pos_as_xyz
'x,y,z'
'-x,-y,z'
'-x,y,z'
'x,-y,z'
'x+1/2,y+1/2,z+1/2'
'-x+1/2,-y+1/2,z+1/2'
'-x+1/2,y+1/2,z+1/2'
'x+1/2,-y+1/2,z+1/2'
loop_
_atom_site_label
_atom_site_fract_x
_atom_site_fract_y
_atom_site_fract_z
Al1 0.0000 0.0000 0.0000
Al2 0.0000 0.2249 0.4048
Co1 0.0000 0.5000 0.0730
```

Computed properties:
- ΔH_f (0 K): -0.24 eV/atom
- DOS(E_F): 0.414 states/eV/atom